Here is a relaxed PmSmO4 crystal from Alexandria. Energies are from PBE.

ΔE_f (raw)   -2.88 eV per atom
V   85.7 Å³/cell

Unit cell a=3.8978 b=3.8978 c=6.4721 alpha=96.72 beta=96.72 gamma=61.61
Last column: nearest neighbours and their distance in Å.
Atoms (fractional coordinates):
Pm: 0.0000 0.0000 0.0000  7 O 2.33-2.56
Sm: 0.3941 0.3941 0.4603  7 O 2.32-2.55
O: 0.0459 0.0459 0.3736  3 Sm 2.32-2.34, 1 Pm 2.40
O: 0.3489 0.3489 0.0897  3 Pm 2.33-2.35, 1 Sm 2.38
O: 0.6165 0.6165 0.7992  1 O 1.51
O: 0.7784 0.7784 0.6585  1 O 1.51